Record 1
# AcAs4Au (PBE-GGA, optimized geometry)
# Uncorrected energy = -109.44 eV for the cell shown
# D(E_F) = 26.23 states/eV per cell
# V = 137.24 Å³/f.u.
data_AcAs4Au
_symmetry_space_group_name_H-M 'F -4 3 m'
_symmetry_Int_Tables_number 216
_symmetry_space_group_name_Hall 'F -4 2 3'
_cell_length_a 8.188
_cell_length_b 8.188
_cell_length_c 8.188
_cell_angle_alpha 90.00
_cell_angle_beta 90.00
_cell_angle_gamma 90.00
loop_
_atom_site_label
_atom_site_type_symbol
_atom_site_fract_x
_atom_site_fract_y
_atom_site_fract_z
_atom_site_occupancy
Ac1 Ac 0.000 0.000 0.000 1
As1 As 0.116 0.116 0.384 1
Au1 Au 0.250 0.250 0.750 1

=====

Record 2
# KRb2Na6Au (PBE-GGA, optimized geometry)
# Uncorrected energy = -87.53 eV for the cell shown
# D(E_F) = 31.18 states/eV per cell
# V = 484.46 Å³/f.u.
data_KRb2Na6Au
_symmetry_space_group_name_H-M 'R -3 m'
_symmetry_Int_Tables_number 166
_symmetry_space_group_name_Hall '-R 3 2"'
_cell_length_a 8.4697
_cell_length_b 8.4697
_cell_length_c 46.7880
_cell_angle_alpha 90.00
_cell_angle_beta 90.00
_cell_angle_gamma 120.00
loop_
_atom_site_label
_atom_site_type_symbol
_atom_site_fract_x
_atom_site_fract_y
_atom_site_fract_z
_atom_site_occupancy
K1 K 0.0000 0.0000 0.0716 1
Rb1 Rb 0.0000 0.0000 0.2253 1
Rb2 Rb 0.0000 0.0000 0.4015 1
Na1 Na 0.0366 0.5183 0.8091 1
Na2 Na 0.0570 0.5285 0.3532 1
Au1 Au 0.0000 0.0000 0.0000 1
Au2 Au 0.0000 0.0000 0.5000 1

=====

Record 3
# Tb4PdPt (PBE-GGA, optimized geometry)
# Uncorrected energy = -67.33 eV for the cell shown
# D(E_F) = 11.92 states/eV per cell
# V = 169.08 Å³/f.u.
data_Tb4PdPt
_symmetry_space_group_name_H-M 'P 1 21/c 1'
_symmetry_Int_Tables_number 14
_symmetry_space_group_name_Hall '-P 2ybc'
_cell_length_a 6.965
_cell_length_b 6.961
_cell_length_c 6.974
_cell_angle_alpha 90.00
_cell_angle_beta 90.43
_cell_angle_gamma 90.00
loop_
_atom_site_label
_atom_site_type_symbol
_atom_site_fract_x
_atom_site_fract_y
_atom_site_fract_z
_atom_site_occupancy
Tb1 Tb 0.164 0.166 0.168 1
Tb2 Tb 0.334 0.664 0.163 1
Pd1 Pd 0.500 0.000 0.000 1
Pt1 Pt 0.000 0.000 0.500 1

=====

Record 4
# BaNaLiAg2 (PBE-GGA, optimized geometry)
# Uncorrected energy = -11.01 eV for the cell shown
# D(E_F) = 3.04 states/eV per cell
# V = 139.80 Å³/f.u.
data_BaNaLiAg2
_symmetry_space_group_name_H-M 'P 4/m m m'
_symmetry_Int_Tables_number 123
_symmetry_space_group_name_Hall '-P 4 2'
_cell_length_a 5.238
_cell_length_b 5.238
_cell_length_c 5.096
_cell_angle_alpha 90.00
_cell_angle_beta 90.00
_cell_angle_gamma 90.00
loop_
_atom_site_label
_atom_site_type_symbol
_atom_site_fract_x
_atom_site_fract_y
_atom_site_fract_z
_atom_site_occupancy
Ba1 Ba 0.000 0.000 0.000 1
Na1 Na 0.500 0.500 0.000 1
Li1 Li 0.500 0.500 0.500 1
Ag1 Ag 0.000 0.500 0.500 1

=====

Record 5
# Mg2AlTl (PBE-GGA, optimized geometry)
# Uncorrected energy = -18.30 eV for the cell shown
# D(E_F) = 2.81 states/eV per cell
# V = 87.87 Å³/f.u.
data_Mg2AlTl
_symmetry_space_group_name_H-M 'C 1 2/m 1'
_symmetry_Int_Tables_number 12
_symmetry_space_group_name_Hall '-C 2y'
_cell_length_a 6.377
_cell_length_b 8.627
_cell_length_c 3.194
_cell_angle_alpha 90.00
_cell_angle_beta 90.13
_cell_angle_gamma 90.00
loop_
_atom_site_label
_atom_site_type_symbol
_atom_site_fract_x
_atom_site_fract_y
_atom_site_fract_z
_atom_site_occupancy
Mg1 Mg 0.250 0.250 0.000 1
Al1 Al 0.000 0.000 0.500 1
Tl1 Tl 0.000 0.500 0.500 1

=====

Record 6
# HoRe2O8 (PBE-GGA, optimized geometry)
# Formation energy without anion corrections = -2.04 eV/atom
# D(E_F) = 10.77 states/eV per cell
# V = 216.49 Å³/f.u.
data_HoRe2O8
_symmetry_space_group_name_H-M 'F m -3 m'
_symmetry_Int_Tables_number 225
_symmetry_space_group_name_Hall '-F 4 2 3'
_cell_length_a 9.532
_cell_length_b 9.532
_cell_length_c 9.532
_cell_angle_alpha 90.00
_cell_angle_beta 90.00
_cell_angle_gamma 90.00
loop_
_atom_site_label
_atom_site_type_symbol
_atom_site_fract_x
_atom_site_fract_y
_atom_site_fract_z
_atom_site_occupancy
Ho1 Ho 0.000 0.000 0.000 1
Re1 Re 0.250 0.250 0.250 1
O1 O 0.143 0.143 0.143 1

=====

Record 7
# K4La3BiO8 (PBE-GGA, optimized geometry)
# Formation energy without anion corrections = -2.34 eV/atom
# D(E_F) = 0.00 states/eV per cell
# V = 298.71 Å³/f.u.
data_K4La3BiO8
_symmetry_space_group_name_H-M 'R -3 m'
_symmetry_Int_Tables_number 166
_symmetry_space_group_name_Hall '-R 3 2"'
_cell_length_a 7.3969
_cell_length_b 7.3969
_cell_length_c 18.9118
_cell_angle_alpha 90.00
_cell_angle_beta 90.00
_cell_angle_gamma 120.00
loop_
_atom_site_label
_atom_site_type_symbol
_atom_site_fract_x
_atom_site_fract_y
_atom_site_fract_z
_atom_site_occupancy
K1 K 0.0000 0.0000 0.0000 1
K2 K 0.0000 0.5000 0.0000 1
La1 La 0.0000 0.5000 0.5000 1
Bi1 Bi 0.0000 0.0000 0.5000 1
O1 O 0.0000 0.0000 0.2298 1
O2 O 0.0006 0.5003 0.7681 1

=====

Record 8
# Ir2SeCl (PBE-GGA, optimized geometry)
# Formation energy without anion corrections = 0.65 eV/atom
# D(E_F) = 7.01 states/eV per cell
# V = 68.19 Å³/f.u.
data_Ir2SeCl
_symmetry_space_group_name_H-M 'I m m 2'
_symmetry_Int_Tables_number 44
_symmetry_space_group_name_Hall 'I 2 -2'
_cell_length_a 2.863
_cell_length_b 4.176
_cell_length_c 11.406
_cell_angle_alpha 90.00
_cell_angle_beta 90.00
_cell_angle_gamma 90.00
loop_
_atom_site_label
_atom_site_type_symbol
_atom_site_fract_x
_atom_site_fract_y
_atom_site_fract_z
_atom_site_occupancy
Ir1 Ir 0.000 0.000 0.000 1
Ir2 Ir 0.000 0.500 0.295 1
Se1 Se 0.000 0.500 0.714 1
Cl1 Cl 0.000 0.000 0.502 1

=====

Record 9
# SrFeMo3 (PBE-GGA, optimized geometry)
# Uncorrected energy = -25.34 eV for the cell shown
# D(E_F) = 14.79 states/eV per cell
# V = 101.92 Å³/f.u.
data_SrFeMo3
_symmetry_space_group_name_H-M 'P m -3 m'
_symmetry_Int_Tables_number 221
_symmetry_space_group_name_Hall '-P 4 2 3'
_cell_length_a 4.671
_cell_length_b 4.671
_cell_length_c 4.671
_cell_angle_alpha 90.00
_cell_angle_beta 90.00
_cell_angle_gamma 90.00
loop_
_atom_site_label
_atom_site_type_symbol
_atom_site_fract_x
_atom_site_fract_y
_atom_site_fract_z
_atom_site_occupancy
Sr1 Sr 0.000 0.000 0.000 1
Fe1 Fe 0.500 0.500 0.500 1
Mo1 Mo 0.000 0.000 0.500 1

=====

Record 10
# Tb2DyTm4 (PBE-GGA, optimized geometry)
# Uncorrected energy = -95.20 eV for the cell shown
# D(E_F) = 33.80 states/eV per cell
# V = 215.88 Å³/f.u.
data_Tb2DyTm4
_symmetry_space_group_name_H-M 'R 3 m'
_symmetry_Int_Tables_number 160
_symmetry_space_group_name_Hall 'R 3 -2"'
_cell_length_a 3.5648
_cell_length_b 3.5648
_cell_length_c 58.8437
_cell_angle_alpha 90.00
_cell_angle_beta 90.00
_cell_angle_gamma 120.00
loop_
_atom_site_label
_atom_site_type_symbol
_atom_site_fract_x
_atom_site_fract_y
_atom_site_fract_z
_atom_site_occupancy
Tb1 Tb 0.0000 0.0000 0.0000 1
Tb2 Tb 0.0000 0.0000 0.0958 1
Dy1 Dy 0.0000 0.0000 0.1914 1
Tm1 Tm 0.0000 0.0000 0.2856 1
Tm2 Tm 0.0000 0.0000 0.3812 1
Tm3 Tm 0.0000 0.0000 0.8104 1
Tm4 Tm 0.0000 0.0000 0.9055 1

=====

Record 11
# La2VP2 (PBE-GGA, optimized geometry)
# Uncorrected energy = -68.67 eV for the cell shown
# D(E_F) = 4.53 states/eV per cell
# V = 114.41 Å³/f.u.
data_La2VP2
_symmetry_space_group_name_H-M 'P 4/m b m'
_symmetry_Int_Tables_number 127
_symmetry_space_group_name_Hall '-P 4 2ab'
_cell_length_a 7.413
_cell_length_b 7.413
_cell_length_c 4.164
_cell_angle_alpha 90.00
_cell_angle_beta 90.00
_cell_angle_gamma 90.00
loop_
_atom_site_label
_atom_site_type_symbol
_atom_site_fract_x
_atom_site_fract_y
_atom_site_fract_z
_atom_site_occupancy
La1 La 0.154 0.346 0.000 1
V1 V 0.000 0.000 0.500 1
P1 P 0.160 0.660 0.500 1

=====

Record 12
# PmTm5Rh6 (PBE-GGA, optimized geometry)
# Uncorrected energy = -164.38 eV for the cell shown
# D(E_F) = 13.33 states/eV per cell
# V = 236.32 Å³/f.u.
data_PmTm5Rh6
_symmetry_space_group_name_H-M 'C m m m'
_symmetry_Int_Tables_number 65
_symmetry_space_group_name_Hall '-C 2 2'
_cell_length_a 4.777
_cell_length_b 14.371
_cell_length_c 6.885
_cell_angle_alpha 90.00
_cell_angle_beta 90.00
_cell_angle_gamma 90.00
loop_
_atom_site_label
_atom_site_type_symbol
_atom_site_fract_x
_atom_site_fract_y
_atom_site_fract_z
_atom_site_occupancy
Pm1 Pm 0.000 0.000 0.000 1
Tm1 Tm 0.000 0.000 0.500 1
Tm2 Tm 0.000 0.332 0.000 1
Tm3 Tm 0.000 0.333 0.500 1
Rh1 Rh 0.000 0.169 0.253 1
Rh2 Rh 0.000 0.500 0.258 1